# 1
This record from the Alexandria database describes an optimized crystal structure of Ac2PmNdDy. The functional is GGA-PBE.

Summary:
VASP energy   -42.2 eV per cell
Energy relative to the elements   0.25 eV/atom

a = 6.490 Å, b = 8.876 Å, c = 6.849 Å
α = 90.00°, β = 90.00°, γ = 90.00°
Space group Pmma (No. 51)
Inequivalent atoms, fractional coordinates:
Ac 0.250 0.206 0.209 x4
Pm 0.250 0.000 0.679 x2
Nd 0.250 0.500 0.914 x2
Dy 0.000 0.500 0.500 x2

# 2
This record from the Alexandria database describes an optimized crystal structure of Ba2CaZn3Pt4. The functional is GGA-PBE.

Summary:
VASP energy   -40.5 eV per cell
Energy relative to the elements   -0.66 eV/atom

a = 4.468 Å, b = 4.468 Å, c = 11.397 Å
α = 90.00°, β = 90.00°, γ = 90.00°
Space group P-4m2 (No. 115)
Inequivalent atoms, fractional coordinates:
Ba 0.000 0.500 0.231 x2
Ca 0.000 0.000 0.500 x1
Zn 0.000 0.500 0.884 x2
Zn 0.500 0.500 0.500 x1
Pt 0.000 0.000 0.000 x1
Pt 0.000 0.500 0.653 x2
Pt 0.500 0.500 0.000 x1

# 3
This record from the Alexandria database describes an optimized crystal structure of Nd12Dy6Er. The functional is GGA-PBE.

Summary:
ΔE to the lowest computed polymorph   189 kJ/mol of formula units
VASP energy   -254.7 eV per cell
Energy relative to the elements   0.24 eV/atom

a = 14.8654 Å, b = 14.8654 Å, c = 10.5000 Å
α = 90.00°, β = 90.00°, γ = 120.00°
Space group R-3 (No. 148, hexagonal axes)
Inequivalent atoms, fractional coordinates:
Nd 0.0525 0.8003 0.0782 x18
Nd 0.0649 0.8368 0.4200 x18
Dy 0.0499 0.8381 0.7591 x18
Er 0.0000 0.0000 0.0000 x3

# 4
This record from the Alexandria database describes an optimized crystal structure of BeRhBr2. The functional is GGA-PBE.

Summary:
ΔE to the lowest computed polymorph   17 kJ/mol of formula units
VASP energy   -31.7 eV per cell
ΔE_f (raw)   -0.361 eV per atom

a = 3.853 Å, b = 6.800 Å, c = 8.637 Å
α = 108.77°, β = 100.62°, γ = 101.31°
Space group P1 (No. 1)
Inequivalent atoms, fractional coordinates:
Be 0.000 0.000 0.000 x1
Be 0.212 0.359 0.214 x1
Rh 0.226 0.288 0.952 x1
Rh 0.866 0.553 0.123 x1
Br 0.576 0.061 0.789 x1
Br 0.731 0.565 0.394 x1
Br 0.968 0.655 0.881 x1
Br 0.974 0.065 0.261 x1

# 5
This record from the Alexandria database describes an optimized crystal structure of AcGdYZn. The functional is GGA-PBE.

Summary:
VASP energy   -101.1 eV per cell
Energy relative to the elements   0.16 eV/atom

a = 7.861 Å, b = 7.861 Å, c = 7.861 Å
α = 90.00°, β = 90.00°, γ = 90.00°
Space group F-43m (No. 216)
Inequivalent atoms, fractional coordinates:
Ac 0.000 0.000 0.000 x4
Gd 0.250 0.250 0.750 x4
Y 0.250 0.250 0.250 x4
Zn 0.000 0.000 0.500 x4

# 6
This record from the Alexandria database describes an optimized crystal structure of Mg3Rh. The functional is GGA-PBE.

Summary:
VASP energy   -38.1 eV per cell
Energy relative to the elements   -0.14 eV/atom

a = 3.0675 Å, b = 3.0675 Å, c = 28.4436 Å
α = 90.00°, β = 90.00°, γ = 120.00°
Space group R-3m (No. 166, hexagonal axes)
Inequivalent atoms, fractional coordinates:
Mg 0.0000 0.0000 0.0000 x3
Mg 0.0000 0.0000 0.2359 x6
Rh 0.0000 0.0000 0.5000 x3

# 7
This record from the Alexandria database describes an optimized crystal structure of Ba2SiPdAu6. The functional is GGA-PBE.

Summary:
VASP energy   -78.6 eV per cell
ΔE_f (raw)   -0.518 eV per atom

a = 11.573 Å, b = 6.707 Å, c = 7.462 Å
α = 90.00°, β = 120.97°, γ = 90.00°
Space group C2/m (No. 12)
Inequivalent atoms, fractional coordinates:
Ba 0.218 0.000 0.154 x4
Si 0.000 0.000 0.500 x2
Pd 0.000 0.500 0.000 x2
Au 0.037 0.282 0.329 x8
Au 0.245 0.000 0.671 x4

# 8
This record from the Alexandria database describes an optimized crystal structure of Pr3Nd2HoS6. The functional is GGA-PBE.

Summary:
VASP energy   -154.8 eV per cell
ΔE_f (raw)   -2.017 eV per atom

a = 7.010 Å, b = 12.175 Å, c = 7.042 Å
α = 90.00°, β = 109.43°, γ = 90.00°
Space group C2/m (No. 12)
Inequivalent atoms, fractional coordinates:
Pr 0.000 0.000 0.000 x2
Pr 0.000 0.329 0.000 x4
Nd 0.000 0.167 0.500 x4
Ho 0.000 0.500 0.500 x2
S 0.241 0.339 0.739 x8
S 0.242 0.500 0.257 x4

# 9
This record from the Alexandria database describes an optimized crystal structure of HfRu. The functional is GGA-PBE.

Summary:
VASP energy   -20.9 eV per cell
Energy relative to the elements   -0.81 eV/atom

a = 3.243 Å, b = 3.243 Å, c = 3.243 Å
α = 90.00°, β = 90.00°, γ = 90.00°
Space group Pm-3m (No. 221)
Inequivalent atoms, fractional coordinates:
Hf 0.000 0.000 0.000 x1
Ru 0.500 0.500 0.500 x1

# 10
This record from the Alexandria database describes an optimized crystal structure of SmAl2Ni2Ir. The functional is GGA-PBE.

Summary:
VASP energy   -33.7 eV per cell
Energy relative to the elements   -0.18 eV/atom

a = 4.626 Å, b = 4.626 Å, c = 5.388 Å
α = 90.00°, β = 90.00°, γ = 90.00°
Space group P4/mmm (No. 123)
Inequivalent atoms, fractional coordinates:
Sm 0.000 0.000 0.000 x1
Al 0.000 0.500 0.500 x2
Ni 0.500 0.500 0.243 x2
Ir 0.000 0.000 0.500 x1

# 11
This record from the Alexandria database describes an optimized crystal structure of TlSi2Tc. The functional is GGA-PBE.

Summary:
ΔE to the lowest computed polymorph   51 kJ/mol of formula units
VASP energy   -68.8 eV per cell
ΔE_f (raw)   0.161 eV per atom

a = 3.2106 Å, b = 3.2106 Å, c = 25.0962 Å
α = 90.00°, β = 90.00°, γ = 120.00°
Space group R-3m (No. 166, hexagonal axes)
Inequivalent atoms, fractional coordinates:
Tl 0.0000 0.0000 0.0000 x3
Si 0.0000 0.0000 0.2310 x6
Tc 0.0000 0.0000 0.5000 x3

# 12
This record from the Alexandria database describes an optimized crystal structure of Zn3GaAg3. The functional is GGA-PBE.

Summary:
ΔE to the lowest computed polymorph   0 kJ/mol of formula units
VASP energy   -30.7 eV per cell
Energy relative to the elements   0.01 eV/atom

a = 4.919 Å, b = 6.684 Å, c = 7.888 Å
α = 74.88°, β = 78.38°, γ = 72.52°
Space group P-1 (No. 2)
Inequivalent atoms, fractional coordinates:
Zn 0.032 0.195 0.207 x2
Zn 0.226 0.048 0.530 x2
Zn 0.444 0.326 0.300 x2
Ga 0.307 0.416 0.959 x2
Ag 0.198 0.465 0.615 x2
Ag 0.255 0.770 0.275 x2
Ag 0.281 0.025 0.891 x2

Question: Which value of VASP energy does entry 10 give?
Answer: -33.7 eV per cell